Below is crystalline Na3NiF at its relaxed geometry, with properties calculated at the GGA+U level.

Calculated values
total moment: 0.00 μB/f.u.
calculated total energy: -2.136 eV/atom
ΔE to the lowest computed polymorph: 0.000 eV per atom

a b c (Å): 4.5640 4.5640 4.5640
angles (deg): 90.00 90.00 90.00
Element x y z (fractional)
Ni  0.5000  0.5000  0.5000
Na  0.5000  0.0000  0.0000
Na  0.0000  0.0000  0.5000
Na  0.0000  0.5000  0.0000
F  0.0000  0.0000  0.0000